# 1
VASP calculation (PBE) on MgZnIr2 after structural relaxation. Values from VASP.

The structure in Quantum ESPRESSO input format:
```
&SYSTEM
  ibrav = 0, nat = 4, ntyp = 3
/
ATOMIC_SPECIES
Mg 24.30 Mg.upf
Zn 65.41 Zn.upf
Ir 192.22 Ir.upf
CELL_PARAMETERS angstrom
2.779 0.000 0.000
0.000 2.779 0.000
0.000 0.000 8.034
ATOMIC_POSITIONS crystal
Mg 0.000 0.000 0.000
Zn 0.500 0.500 0.286
Ir 0.000 0.000 0.522
Ir 0.500 0.500 0.751
```

Properties
SG: P4mm (99)
Energy relative to the elements (eV per atom): -0.11
DFT total energy (eV/atom): -5.255

# 2
VASP calculation (PBE) on MgZnIr2 after structural relaxation. Values from VASP.

The structure in Quantum ESPRESSO input format:
```
&SYSTEM
  ibrav = 0, nat = 4, ntyp = 3
/
ATOMIC_SPECIES
Mg 24.30 Mg.upf
Zn 65.41 Zn.upf
Ir 192.22 Ir.upf
CELL_PARAMETERS angstrom
-1.469 2.340 4.362
1.469 -2.340 4.362
1.469 2.340 -4.362
ATOMIC_POSITIONS crystal
Mg 0.000 0.000 0.000
Zn 0.500 0.500 0.000
Ir 0.261 0.761 0.500
Ir 0.739 0.239 0.500
```

Properties
SG: Immm (71)
Energy relative to the elements (eV per atom): -0.17
DFT total energy (eV/atom): -5.316